(1)
YMnSi: optimized geometry, PBE-GGA.

abc: 4.236 4.236 3.796
angles: 90.00 90.00 120.00
Site moments in Bohr magnetons follow the coordinates.
Sites, in units of the cell vectors:
Y: 0.333 0.667 0.667  -0.05
Si: 0.667 0.333 0.167  -0.04
Mn: 0.000 0.000 0.167  3.23

Values from the calculation:
raw formation energy = -0.38 eV/atom
total energy = -7.399 eV/atom
magnetization = 3.31 μB/f.u.


(2)
UTaNi4: optimized geometry, PBE-GGA.

abc: 4.902 4.902 4.902
angles: 60.00 60.00 60.00
Site moments in Bohr magnetons follow the coordinates.
Sites, in units of the cell vectors:
Ni: 0.127 0.624 0.624  0.13
Ni: 0.624 0.624 0.127  0.13
Ni: 0.624 0.624 0.624  0.13
Ni: 0.624 0.127 0.624  0.13
U: 0.000 0.000 0.000  1.18
Ta: 0.250 0.250 0.250  0.39

Values from the calculation:
total energy = -7.866 eV/atom
magnetization = 2.21 μB/f.u.
ΔH_f (0 K) = -15.0 kJ per mole of atoms


(3)
Nd2Hg7: optimized geometry, PBE-GGA.

abc: 5.213 5.213 9.644
angles: 90.00 90.00 120.00
Sites, in units of the cell vectors:
Hg: 0.333 0.667 0.427
Hg: 0.667 0.333 0.573
Hg: 0.667 0.333 0.897
Hg: 0.333 0.667 0.103
Hg: 0.000 0.000 0.659
Hg: 0.000 0.000 0.341
Hg: 0.000 0.000 0.000
Nd: 0.333 0.667 0.771
Nd: 0.667 0.333 0.229

Values from the calculation:
total energy = -1.610 eV/atom
magnetization = 0.00 μB/f.u.
ΔH_f (0 K) = -30.5 kJ per mole of atoms


(4)
Rb3LiNp3Se8: optimized geometry, PBE-GGA.

abc: 8.375 8.375 9.374
angles: 116.52 90.00 120.00
Site moments in Bohr magnetons follow the coordinates.
Sites, in units of the cell vectors:
Np: 0.500 0.000 0.500  3.40
Np: 0.500 0.500 0.500  3.40
Np: 0.000 0.500 0.500  3.40
Se: 0.765 0.530 0.313  -0.14
Se: 0.732 0.464 0.696  -0.10
Se: 0.284 0.049 0.313  -0.14
Se: 0.716 0.951 0.687  -0.14
Se: 0.268 0.536 0.304  -0.10
Se: 0.235 0.470 0.687  -0.14
Se: 0.765 0.049 0.313  -0.14
Se: 0.235 0.951 0.687  -0.14
Li: 0.000 0.000 0.500  0.00
Rb: 0.000 0.000 0.000  0.00
Rb: 0.000 0.500 0.000  0.00
Rb: 0.500 0.500 0.000  0.00

Values from the calculation:
raw formation energy = -1.17 eV/atom
total energy = -5.941 eV/atom
magnetization = 9.00 μB/f.u.


(5)
RbIr: optimized geometry, PBE-GGA.

abc: 12.639 12.639 3.009
angles: 90.00 90.00 90.00
Site moments in Bohr magnetons follow the coordinates.
Sites, in units of the cell vectors:
Ir: 0.936 0.618 0.000  0.29
Ir: 0.382 0.936 0.000  0.29
Ir: 0.550 0.907 0.500  0.39
Ir: 0.093 0.550 0.500  0.39
Ir: 0.907 0.450 0.500  0.39
Ir: 0.450 0.093 0.500  0.39
Ir: 0.064 0.382 0.000  0.29
Ir: 0.618 0.064 0.000  0.29
Rb: 0.688 0.623 0.500  0.00
Rb: 0.623 0.312 0.500  0.00
Rb: 0.809 0.880 0.000  0.01
Rb: 0.377 0.688 0.500  0.00
Rb: 0.312 0.377 0.500  0.00
Rb: 0.880 0.191 0.000  0.01
Rb: 0.120 0.809 0.000  0.01
Rb: 0.191 0.120 0.000  0.01

Values from the calculation:
E above lowest polymorph = 0.94 eV/f.u.
total energy = -4.069 eV/atom
magnetization = 0.39 μB/f.u.
ΔH_f (0 K) = 81.5 kJ per mole of atoms


(6)
CsRbCd2Si: optimized geometry, PBE-GGA.

abc: 5.449 6.815 5.449
angles: 90.00 90.00 90.00
Sites, in units of the cell vectors:
Cd: 0.500 0.000 0.000
Cd: 0.000 0.000 0.500
Rb: 0.500 0.500 0.500
Si: 0.000 0.000 0.000
Cs: 0.000 0.500 0.000

Values from the calculation:
raw formation energy = 0.28 eV/atom
total energy = -1.534 eV/atom
magnetization = 0.00 μB/f.u.


(7)
Rb2TmThTe4: optimized geometry, PBE-GGA.

abc: 4.481 7.825 9.029
angles: 106.49 90.00 90.00
Sites, in units of the cell vectors:
Te: 0.500 0.774 0.800
Te: 0.000 0.256 0.793
Te: 0.000 0.744 0.207
Te: 0.500 0.226 0.200
Tm: 0.000 0.000 0.000
Rb: 0.500 0.000 0.500
Rb: 0.000 0.500 0.500
Th: 0.500 0.500 0.000

Values from the calculation:
raw formation energy = -1.25 eV/atom
total energy = -4.546 eV/atom
magnetization = 0.00 μB/f.u.


(8)
ZrPaTaW: optimized geometry, PBE-GGA.

abc: 4.866 4.866 4.866
angles: 60.00 60.00 60.00
Sites, in units of the cell vectors:
Ta: 0.250 0.250 0.250
Zr: 0.000 0.000 0.000
W: 0.750 0.750 0.750
Pa: 0.500 0.500 0.500

Values from the calculation:
total energy = -10.526 eV/atom
magnetization = 0.00 μB/f.u.
ΔH_f (0 K) = 18.0 kJ per mole of atoms


(9)
SiP2RhCl: optimized geometry, PBE-GGA.

abc: 4.523 4.523 5.091
angles: 90.00 90.00 90.00
Sites, in units of the cell vectors:
P: 0.500 0.000 0.000
P: 0.000 0.500 0.000
Si: 0.500 0.500 0.500
Cl: 0.000 0.000 0.500
Rh: 0.000 0.000 0.000

Values from the calculation:
raw formation energy = 0.67 eV/atom
E above lowest polymorph = 0.00 eV/f.u.
total energy = -4.417 eV/atom
magnetization = 0.00 μB/f.u.


(10)
Nd2GdTe: optimized geometry, PBE-GGA.

abc: 4.007 4.007 7.878
angles: 90.00 90.00 90.00
Site moments in Bohr magnetons follow the coordinates.
Sites, in units of the cell vectors:
Nd: 0.000 0.000 0.223  0.07
Nd: 0.000 0.000 0.777  0.07
Te: 0.500 0.500 0.000  0.00
Gd: 0.500 0.500 0.500  7.29

Values from the calculation:
raw formation energy = -0.59 eV/atom
E above lowest polymorph = 0.00 eV/f.u.
total energy = -7.284 eV/atom
magnetization = 8.04 μB/f.u.


(11)
LiNdYBe: optimized geometry, PBE-GGA.

abc: 5.081 5.081 5.081
angles: 60.00 60.00 60.00
Sites, in units of the cell vectors:
Be: 0.000 0.000 0.000
Li: 0.500 0.500 0.500
Y: 0.750 0.750 0.750
Nd: 0.250 0.250 0.250

Values from the calculation:
total energy = -4.072 eV/atom
magnetization = 0.00 μB/f.u.
ΔH_f (0 K) = 14.1 kJ per mole of atoms


(12)
Cs2TlHg2: optimized geometry, PBE-GGA.

abc: 8.894 8.894 5.656
angles: 90.00 90.00 90.00
Sites, in units of the cell vectors:
Cs: 0.676 0.824 0.500
Cs: 0.176 0.676 0.500
Cs: 0.824 0.324 0.500
Cs: 0.324 0.176 0.500
Hg: 0.371 0.871 0.000
Hg: 0.629 0.129 0.000
Hg: 0.129 0.371 0.000
Hg: 0.871 0.629 0.000
Tl: 0.000 0.000 0.000
Tl: 0.500 0.500 0.000

Values from the calculation:
E above lowest polymorph = 0.33 eV/f.u.
total energy = -1.070 eV/atom
magnetization = 0.00 μB/f.u.
ΔH_f (0 K) = -13.0 kJ per mole of atoms


(13)
Li2LaTlF: optimized geometry, PBE-GGA.

abc: 4.616 4.616 5.032
angles: 90.00 90.00 90.00
Site moments in Bohr magnetons follow the coordinates.
Sites, in units of the cell vectors:
Li: 0.000 0.500 0.000  0.01
Li: 0.500 0.000 0.000  0.01
La: 0.000 0.000 0.500  0.12
F: 0.000 0.000 0.000  0.00
Tl: 0.500 0.500 0.500  0.08

Values from the calculation:
raw formation energy = -1.17 eV/atom
total energy = -3.771 eV/atom
magnetization = 0.56 μB/f.u.


(14)
TbPu2AgTe5: optimized geometry, PBE-GGA.

abc: 4.338 9.622 13.196
angles: 90.00 90.00 103.03
Site moments in Bohr magnetons follow the coordinates.
Sites, in units of the cell vectors:
Pu: 0.886 0.772 0.183  -5.29
Pu: 0.122 0.244 0.310  -5.30
Pu: 0.878 0.756 0.810  -5.30
Pu: 0.114 0.228 0.683  -5.29
Te: 0.360 0.721 0.001  0.11
Te: 0.959 0.918 0.577  0.11
Te: 0.640 0.279 0.501  0.11
Te: 0.041 0.082 0.077  0.11
Te: 0.695 0.391 0.839  0.08
Te: 0.499 0.999 0.773  0.16
Te: 0.709 0.419 0.174  0.10
Te: 0.501 0.001 0.273  0.16
Te: 0.305 0.609 0.339  0.08
Te: 0.291 0.581 0.674  0.10
Ag: 0.569 0.138 0.957  0.04
Ag: 0.431 0.862 0.457  0.04
Tb: 0.195 0.390 0.010  0.03
Tb: 0.805 0.610 0.510  0.03

Values from the calculation:
raw formation energy = -0.92 eV/atom
total energy = -6.685 eV/atom
magnetization = 10.05 μB/f.u.


(15)
SmHo2Hf: optimized geometry, PBE-GGA.

abc: 3.442 3.442 11.407
angles: 81.32 81.32 60.00
Sites, in units of the cell vectors:
Hf: 0.666 0.666 0.001
Sm: 0.500 0.500 0.500
Ho: 0.077 0.077 0.768
Ho: 0.256 0.256 0.232

Values from the calculation:
E above lowest polymorph = 0.00 eV/f.u.
total energy = -5.847 eV/atom
magnetization = 0.00 μB/f.u.
ΔH_f (0 K) = 10.6 kJ per mole of atoms


(16)
NaFeTe2I: optimized geometry, PBE-GGA.

abc: 4.948 4.948 6.182
angles: 90.00 90.00 90.00
Sites, in units of the cell vectors:
Te: 0.000 0.500 0.000
Te: 0.500 0.000 0.000
Fe: 0.000 0.000 0.000
Na: 0.500 0.500 0.500
I: 0.000 0.000 0.500

Values from the calculation:
raw formation energy = 0.00 eV/atom
E above lowest polymorph = 0.00 eV/f.u.
total energy = -3.522 eV/atom
magnetization = 0.00 μB/f.u.


(17)
TlPtAu2: optimized geometry, PBE-GGA.

abc: 4.597 4.597 3.689
angles: 90.00 90.00 101.78
Sites, in units of the cell vectors:
Tl: 0.000 0.500 0.500
Au: 0.500 0.500 0.000
Au: 0.000 0.000 0.000
Pt: 0.500 0.000 0.500

Values from the calculation:
E above lowest polymorph = 0.00 eV/f.u.
total energy = -3.664 eV/atom
magnetization = 0.00 μB/f.u.
ΔH_f (0 K) = 7.4 kJ per mole of atoms


(18)
MoAs2: optimized geometry, PBE-GGA.

abc: 4.659 5.213 8.125
angles: 90.00 90.00 90.00
Sites, in units of the cell vectors:
As: 0.750 0.866 0.211
As: 0.250 0.666 0.043
As: 0.250 0.166 0.457
As: 0.750 0.334 0.957
As: 0.250 0.634 0.711
As: 0.750 0.366 0.289
As: 0.750 0.834 0.543
As: 0.250 0.134 0.789
Mo: 0.750 0.843 0.894
Mo: 0.250 0.657 0.394
Mo: 0.750 0.343 0.606
Mo: 0.250 0.157 0.106

Values from the calculation:
total energy = -6.602 eV/atom
magnetization = 0.00 μB/f.u.
ΔH_f (0 K) = 10.4 kJ per mole of atoms


(19)
Ba3Li2Zn8: optimized geometry, PBE-GGA.

abc: 7.353 7.353 9.083
angles: 61.81 61.81 50.50
Sites, in units of the cell vectors:
Zn: 0.749 0.749 0.434
Zn: 0.711 0.153 0.397
Zn: 0.496 0.496 0.854
Zn: 0.504 0.504 0.146
Zn: 0.289 0.847 0.603
Zn: 0.847 0.289 0.603
Zn: 0.251 0.251 0.566
Zn: 0.153 0.711 0.397
Li: 0.596 0.596 0.336
Li: 0.404 0.404 0.664
Ba: 0.000 0.000 0.000
Ba: 0.777 0.777 0.795
Ba: 0.223 0.223 0.205

Values from the calculation:
total energy = -1.662 eV/atom
magnetization = 0.00 μB/f.u.
ΔH_f (0 K) = -13.5 kJ per mole of atoms


(20)
La2MgAu: optimized geometry, PBE-GGA.

abc: 5.265 5.265 5.265
angles: 60.00 60.00 60.00
Site moments in Bohr magnetons follow the coordinates.
Sites, in units of the cell vectors:
La: 0.000 0.000 0.000  0.26
La: 0.250 0.250 0.250  0.17
Mg: 0.750 0.750 0.750  0.01
Au: 0.500 0.500 0.500  0.02

Values from the calculation:
total energy = -3.916 eV/atom
magnetization = 0.77 μB/f.u.
ΔH_f (0 K) = -22.6 kJ per mole of atoms